(1)
# TlTc2P (PBE-GGA, optimized geometry)
data_TlTc2P
_chemical_formula_sum 'Tl2 Tc4 P2'
_symmetry_space_group_name_H-M 'C m m 2'
_symmetry_Int_Tables_number 35
_cell_length_a 3.0725
_cell_length_b 4.7903
_cell_length_c 10.1156
_cell_angle_alpha 90.00
_cell_angle_beta 90.00
_cell_angle_gamma 90.00
loop_
_symmetry_equiv_pos_as_xyz
'x,y,z'
'-x,-y,z'
'-x,y,z'
'x,-y,z'
'x+1/2,y+1/2,z'
'-x+1/2,-y+1/2,z'
'-x+1/2,y+1/2,z'
'x+1/2,-y+1/2,z'
loop_
_atom_site_label
_atom_site_type_symbol
_atom_site_fract_x
_atom_site_fract_y
_atom_site_fract_z
Tl1 Tl 0.0000 0.0000 0.0000
Tc1 Tc 0.0000 0.0000 0.5224
Tc2 Tc 0.0000 0.5000 0.7350
P1 P 0.0000 0.5000 0.3427
# DOS(E_F): 0.96 states/eV per atom
# Crystal system: orthorhombic
# Total moment: 0.0 μB/cell
# E above lowest polymorph: 0.473 eV per atom

=====

(2)
# LiB2Pt3 (PBE-GGA, optimized geometry)
data_LiB2Pt3
_chemical_formula_sum 'Li2 B4 Pt6'
_symmetry_space_group_name_H-M 'A m m 2'
_symmetry_Int_Tables_number 38
_cell_length_a 3.1350
_cell_length_b 9.4993
_cell_length_c 5.4832
_cell_angle_alpha 90.00
_cell_angle_beta 90.00
_cell_angle_gamma 90.00
loop_
_symmetry_equiv_pos_as_xyz
'x,y,z'
'-x,-y,z'
'-x,y,z'
'x,-y,z'
'x,y+1/2,z+1/2'
'-x,-y+1/2,z+1/2'
'-x,y+1/2,z+1/2'
'x,-y+1/2,z+1/2'
loop_
_atom_site_label
_atom_site_type_symbol
_atom_site_fract_x
_atom_site_fract_y
_atom_site_fract_z
Li1 Li 0.0000 0.0000 0.0000
B1 B 0.0000 0.1667 0.5009
Pt1 Pt 0.5000 0.0000 0.5011
Pt2 Pt 0.5000 0.2500 0.2512
# DOS(E_F): 0.20 states/eV per atom
# Raw total energy: -5.91 eV per atom
# Crystal system: orthorhombic
# Total moment: 0.0 μB/cell